This record from Alexandria via LeMat-Bulk describes a relaxed PmPbS crystal. The functional is PBE.

a b c (Å): 4.488 4.495 13.198
angles (deg): 108.92 80.21 60.05
Fractional coordinates of all 6 atoms:
Pb 0.253 0.561 0.933
Pb 0.747 0.439 0.067
S 0.941 0.457 0.661
S 0.059 0.543 0.339
Pm 0.169 0.920 0.742
Pm 0.831 0.080 0.258

Computed properties:
The crystal system is monoclinic. The total magnetic moment comes out at 0.0 μB/f.u. Its total energy is -5.280 eV per atom. As for the space group: C2/m.

***

This record from Alexandria via LeMat-Bulk describes a relaxed PmPb6S8 crystal. The functional is PBE.

a b c (Å): 7.715 7.715 7.715
angles (deg): 102.51 102.51 102.51
Fractional coordinates of all 15 atoms:
S 0.298 0.298 0.298
S 0.159 0.704 0.804
S 0.196 0.841 0.296
S 0.841 0.296 0.196
S 0.702 0.702 0.702
S 0.704 0.804 0.159
S 0.804 0.159 0.704
S 0.296 0.196 0.841
Pb 0.327 0.572 0.107
Pb 0.572 0.107 0.327
Pb 0.673 0.428 0.893
Pb 0.107 0.327 0.572
Pb 0.893 0.673 0.428
Pb 0.428 0.893 0.673
Pm 0.000 0.000 0.000

Computed properties:
The crystal system is trigonal. The total magnetic moment comes out at 0.0 μB/f.u. Its total energy is -4.565 eV per atom. As for the space group: R-3.

***

Question: Look up the total magnetic moment of the first one.
Answer: 0.0 μB/f.u.